## Cs2CoMoF6 (PBE with a Hubbard U)

Data for crystalline Cs2CoMoF6 at its relaxed geometry.

The structure in CIF format:
```
data_Cs2CoMoF6
_chemical_formula_sum 'Cs4 Co2 Mo2 F12'
_symmetry_space_group_name_H-M 'I 4/m m m'
_symmetry_Int_Tables_number 139
_symmetry_space_group_name_Hall '-I 4 2'
_cell_length_a 5.9123
_cell_length_b 5.9123
_cell_length_c 11.2293
_cell_angle_alpha 90.00
_cell_angle_beta 90.00
_cell_angle_gamma 90.00
loop_
_atom_site_label
_atom_site_fract_x
_atom_site_fract_y
_atom_site_fract_z
Cs1 0.0000 0.5000 0.2500
Co1 0.0000 0.0000 0.0000
Mo1 0.0000 0.0000 0.5000
F1 0.0000 0.0000 0.3139
F2 0.2464 0.2464 0.0000
```

Values from the calculation:
Its density is 4524 kg/m³. Its volume is 19.626 Å³ per atom. The calculation puts the total energy at -4.837 eV/atom.